[1]
## Hf2BiPt (PBE)

Data for a geometry-optimized Hf2BiPt structure.

```
Hf2BiPt
1.0
0.000 3.506 3.506
3.506 0.000 3.506
3.506 3.506 0.000
Hf Bi Pt
2 1 1
Direct
0.000 0.000 0.000
0.250 0.250 0.250
0.500 0.500 0.500
0.750 0.750 0.750
```

Calculated values
- V (Å³/f.u.) = 86.2
- space-group type = F-43m (216)
- spin magnetization (μB per atom) = 0.46
- raw total energy (eV per atom) = -7.402

[2]
## Cu4Ag (PBE)

Data for a geometry-optimized Cu4Ag structure.

```
Cu4Ag
1.0
2.733 0.000 0.000
0.000 2.733 0.000
0.000 0.000 17.471
Cu Ag
8 2
Direct
0.250 0.250 0.046
0.250 0.250 0.231
0.250 0.250 0.677
0.250 0.250 0.861
0.750 0.750 0.139
0.750 0.750 0.323
0.750 0.750 0.769
0.750 0.750 0.954
0.250 0.250 0.435
0.750 0.750 0.565
```

Calculated values
- V (Å³/f.u.) = 65.3
- space-group type = P4/nmm (129)
- DFT formation energy (meV/atom) = 44

[3]
## Ho2Ni17 (PBE)

Data for a geometry-optimized Ho2Ni17 structure.

```
Ho2Ni17
1.0
8.251 0.000 0.000
-4.126 7.146 0.000
0.000 0.000 7.983
Ho Ni
4 34
Direct
0.000 0.000 0.250
0.000 0.000 0.750
0.333 0.667 0.250
0.667 0.333 0.750
0.000 0.500 0.000
0.000 0.500 0.500
0.043 0.370 0.750
0.043 0.673 0.750
0.165 0.331 0.022
0.165 0.331 0.478
0.165 0.835 0.022
0.165 0.835 0.478
0.327 0.370 0.750
0.327 0.957 0.750
0.331 0.165 0.522
0.331 0.165 0.978
0.333 0.667 0.601
0.333 0.667 0.899
0.370 0.043 0.250
0.370 0.327 0.250
0.500 0.000 0.000
0.500 0.000 0.500
0.500 0.500 0.000
0.500 0.500 0.500
0.630 0.673 0.750
0.630 0.957 0.750
0.667 0.333 0.101
0.667 0.333 0.399
0.669 0.835 0.022
0.669 0.835 0.478
0.673 0.043 0.250
0.673 0.630 0.250
0.835 0.165 0.522
0.835 0.165 0.978
0.835 0.669 0.522
0.835 0.669 0.978
0.957 0.327 0.250
0.957 0.630 0.250
```

Calculated values
- V (Å³/f.u.) = 235.4
- space-group type = P6_3/mmc (194)
- DFT formation energy (meV/atom) = -208
- spin magnetization (μB per atom) = 0.35